Run one
{
  "formula": "CuIN2",
  "functional": "PBE",
  "state": "relaxed",
  "dos_ef_per_ev_cell": 2.10,
  "volume_a3_per_cell": 47.4,
  "sg": "Fm-3m, No. 225",
  "lattice": [[0.000, 2.873, 2.873], [2.873, 0.000, 2.873], [2.873, 2.873, 0.000]],
  "species": ["Cu", "I", "N", "N"],
  "frac_coords": [[0.000, 0.000, 0.000], [0.500, 0.500, 0.500], [0.250, 0.250, 0.250], [0.750, 0.750, 0.750]]
}

---

Run two
{
  "formula": "CuIN2",
  "functional": "PBE",
  "state": "relaxed",
  "dos_ef_per_ev_cell": 2.27,
  "volume_a3_per_cell": 63.4,
  "sg": "R-3m, No. 166",
  "lattice": [[1.776, 1.026, 5.796], [-1.776, 1.026, 5.796], [0.000, -2.051, 5.796]],
  "species": ["Cu", "I", "N", "N"],
  "frac_coords": [[0.000, 0.000, 0.000], [0.500, 0.500, 0.500], [0.105, 0.105, 0.105], [0.895, 0.895, 0.895]]
}

---

Quick one: least stable of them? run one

---

Run one
{
  "formula": "CuIN2",
  "functional": "PBE",
  "state": "relaxed",
  "dos_ef_per_ev_cell": 2.66,
  "volume_a3_per_cell": 56.2,
  "sg": "R-3m, No. 166",
  "lattice": [[1.638, 0.946, 6.046], [-1.638, 0.946, 6.046], [0.000, -1.892, 6.046]],
  "species": ["Cu", "I", "N", "N"],
  "frac_coords": [[0.000, 0.000, 0.000], [0.500, 0.500, 0.500], [0.382, 0.382, 0.382], [0.618, 0.618, 0.618]]
}

---

Run two
{
  "formula": "CuIN2",
  "functional": "PBE",
  "state": "relaxed",
  "dos_ef_per_ev_cell": 5.75,
  "volume_a3_per_cell": 117.7,
  "sg": "I-42d, No. 122",
  "lattice": [[-2.307, 2.307, 5.530], [2.307, -2.307, 5.530], [2.307, 2.307, -5.530]],
  "species": ["Cu", "Cu", "I", "I", "N", "N", "N", "N"],
  "frac_coords": [[0.000, 0.000, 0.000], [0.750, 0.250, 0.500], [0.250, 0.750, 0.500], [0.500, 0.500, 0.000], [0.096, 0.625, 0.971], [0.375, 0.346, 0.471], [0.654, 0.125, 0.029], [0.875, 0.904, 0.529]]
}

---

Quick one: least stable of them? run two

---

Run one
{
  "formula": "CuI3N",
  "functional": "PBE",
  "state": "relaxed",
  "dos_ef_per_ev_cell": 9.57,
  "volume_a3_per_cell": 148.6,
  "sg": "Pm-3m, No. 221",
  "lattice": [[5.296, 0.000, 0.000], [0.000, 5.296, 0.000], [0.000, 0.000, 5.296]],
  "species": ["Cu", "I", "I", "I", "N"],
  "frac_coords": [[0.000, 0.000, 0.000], [0.000, 0.000, 0.500], [0.000, 0.500, 0.000], [0.500, 0.000, 0.000], [0.500, 0.500, 0.500]]
}

---

Run two
{
  "formula": "CuI3N",
  "functional": "PBE",
  "state": "relaxed",
  "dos_ef_per_ev_cell": 3.19,
  "volume_a3_per_cell": 126.3,
  "sg": "Pm-3m, No. 221",
  "lattice": [[5.018, 0.000, 0.000], [0.000, 5.018, 0.000], [0.000, 0.000, 5.018]],
  "species": ["Cu", "I", "I", "I", "N"],
  "frac_coords": [[0.000, 0.000, 0.000], [0.000, 0.500, 0.500], [0.500, 0.000, 0.500], [0.500, 0.500, 0.000], [0.500, 0.500, 0.500]]
}

---

Quick one: least stable of them? run one

---

Run one
{
  "formula": "Cu3IN",
  "functional": "PBE",
  "state": "relaxed",
  "dos_ef_per_ev_cell": 13.12,
  "volume_a3_per_cell": 112.9,
  "sg": "Pm-3m, No. 221",
  "lattice": [[4.834, 0.000, 0.000], [0.000, 4.834, 0.000], [0.000, 0.000, 4.834]],
  "species": ["Cu", "Cu", "Cu", "I", "N"],
  "frac_coords": [[0.000, 0.000, 0.500], [0.000, 0.500, 0.000], [0.500, 0.000, 0.000], [0.000, 0.000, 0.000], [0.500, 0.500, 0.500]]
}

---

Run two
{
  "formula": "Cu3IN",
  "functional": "PBE",
  "state": "relaxed",
  "dos_ef_per_ev_cell": 4.11,
  "volume_a3_per_cell": 72.3,
  "sg": "Pm-3m, No. 221",
  "lattice": [[4.166, 0.000, 0.000], [0.000, 4.166, 0.000], [0.000, 0.000, 4.166]],
  "species": ["Cu", "Cu", "Cu", "I", "N"],
  "frac_coords": [[0.000, 0.000, 0.500], [0.000, 0.500, 0.000], [0.500, 0.000, 0.000], [0.500, 0.500, 0.500], [0.000, 0.000, 0.000]]
}

---

Quick one: least stable of them? run one

---

Run one
{
  "formula": "CuNiI2N",
  "functional": "PBE",
  "state": "relaxed",
  "dos_ef_per_ev_cell": 3.89,
  "volume_a3_per_cell": 105.1,
  "sg": "P4/mmm, No. 123",
  "lattice": [[5.495, 0.000, 0.000], [0.000, 5.495, 0.000], [0.000, 0.000, 3.482]],
  "species": ["Cu", "Ni", "I", "I", "N"],
  "frac_coords": [[0.000, 0.000, 0.000], [0.500, 0.500, 0.500], [0.000, 0.500, 0.500], [0.500, 0.000, 0.500], [0.500, 0.500, 0.000]]
}

---

Run two
{
  "formula": "CuNiI2N",
  "functional": "PBE",
  "state": "relaxed",
  "dos_ef_per_ev_cell": 4.42,
  "volume_a3_per_cell": 110.2,
  "sg": "P4/mmm, No. 123",
  "lattice": [[5.497, 0.000, 0.000], [0.000, 5.497, 0.000], [0.000, 0.000, 3.647]],
  "species": ["Cu", "Ni", "I", "I", "N"],
  "frac_coords": [[0.000, 0.000, 0.000], [0.500, 0.500, 0.500], [0.000, 0.500, 0.000], [0.500, 0.000, 0.000], [0.000, 0.000, 0.500]]
}

---

Quick one: least stable of them? run two

---

Run one
{
  "formula": "CuI2NO",
  "functional": "PBE",
  "state": "relaxed",
  "dos_ef_per_ev_cell": 7.00,
  "volume_a3_per_cell": 105.9,
  "sg": "P4/mmm, No. 123",
  "lattice": [[5.453, 0.000, 0.000], [0.000, 5.453, 0.000], [0.000, 0.000, 3.560]],
  "species": ["Cu", "I", "I", "N", "O"],
  "frac_coords": [[0.000, 0.000, 0.000], [0.000, 0.500, 0.000], [0.500, 0.000, 0.000], [0.000, 0.000, 0.500], [0.500, 0.500, 0.500]]
}

---

Run two
{
  "formula": "CuI2NO",
  "functional": "PBE",
  "state": "relaxed",
  "dos_ef_per_ev_cell": 7.76,
  "volume_a3_per_cell": 106.6,
  "sg": "P4/mmm, No. 123",
  "lattice": [[5.499, 0.000, 0.000], [0.000, 5.499, 0.000], [0.000, 0.000, 3.526]],
  "species": ["Cu", "I", "I", "N", "O"],
  "frac_coords": [[0.000, 0.000, 0.000], [0.000, 0.500, 0.000], [0.500, 0.000, 0.000], [0.500, 0.500, 0.500], [0.000, 0.000, 0.500]]
}

---

Quick one: least stable of them? run two

---

Run one
{
  "formula": "CuPIN2",
  "functional": "PBE",
  "state": "relaxed",
  "dos_ef_per_ev_cell": 3.12,
  "volume_a3_per_cell": 82.6,
  "sg": "P4/mmm, No. 123",
  "lattice": [[3.935, 0.000, 0.000], [0.000, 3.935, 0.000], [0.000, 0.000, 5.331]],
  "species": ["Cu", "P", "I", "N", "N"],
  "frac_coords": [[0.000, 0.000, 0.000], [0.000, 0.000, 0.500], [0.500, 0.500, 0.500], [0.000, 0.500, 0.000], [0.500, 0.000, 0.000]]
}

---

Run two
{
  "formula": "CuPIN2",
  "functional": "PBE",
  "state": "relaxed",
  "dos_ef_per_ev_cell": 2.96,
  "volume_a3_per_cell": 104.8,
  "sg": "P4/mmm, No. 123",
  "lattice": [[3.804, 0.000, 0.000], [0.000, 3.804, 0.000], [0.000, 0.000, 7.246]],
  "species": ["Cu", "P", "I", "N", "N"],
  "frac_coords": [[0.000, 0.000, 0.000], [0.500, 0.500, 0.500], [0.000, 0.000, 0.500], [0.000, 0.500, 0.000], [0.500, 0.000, 0.000]]
}

---

Quick one: least stable of them? run two

---

Run one
{
  "formula": "CuPdI2N",
  "functional": "PBE",
  "state": "relaxed",
  "dos_ef_per_ev_cell": 5.62,
  "volume_a3_per_cell": 111.0,
  "sg": "P4/mmm, No. 123",
  "lattice": [[5.540, 0.000, 0.000], [0.000, 5.540, 0.000], [0.000, 0.000, 3.614]],
  "species": ["Cu", "Pd", "I", "I", "N"],
  "frac_coords": [[0.000, 0.000, 0.000], [0.500, 0.500, 0.500], [0.000, 0.500, 0.000], [0.500, 0.000, 0.000], [0.000, 0.000, 0.500]]
}

---

Run two
{
  "formula": "CuPdI2N",
  "functional": "PBE",
  "state": "relaxed",
  "dos_ef_per_ev_cell": 1.87,
  "volume_a3_per_cell": 120.7,
  "sg": "P4/mmm, No. 123",
  "lattice": [[5.668, 0.000, 0.000], [0.000, 5.668, 0.000], [0.000, 0.000, 3.756]],
  "species": ["Cu", "Pd", "I", "I", "N"],
  "frac_coords": [[0.000, 0.000, 0.000], [0.500, 0.500, 0.500], [0.000, 0.500, 0.500], [0.500, 0.000, 0.500], [0.500, 0.500, 0.000]]
}

---

Quick one: least stable of them? run one